# 1
This record from Alexandria via LeMat-Bulk describes crystalline Ca4ScAg at its relaxed geometry. The functional is PBE.

It has space group F-43m (No. 216), with a = 9.4872 Å, b = 9.4872 Å, c = 9.4872 Å, α = 90.00°, β = 90.00° and γ = 90.00°. The distinct sites, in fractional coordinates, are Ca at (0.1245, 0.1245, 0.1245), Sc at (0.2500, 0.2500, 0.7500) and Ag at (0.0000, 0.0000, 0.5000).

---

# 2
This record from Alexandria via LeMat-Bulk describes crystalline Be2TlRu2 at its relaxed geometry. The functional is PBE.

It has space group P4/mbm (No. 127), with a = 6.4546 Å, b = 6.4546 Å, c = 3.0969 Å, α = 90.00°, β = 90.00° and γ = 90.00°. The distinct sites, in fractional coordinates, are Be at (0.1175, 0.3825, 0.0000), Tl at (0.0000, 0.0000, 0.0000) and Ru at (0.1637, 0.6637, 0.5000).

---

Across the entries above, formation energy from the elements takes the values 2.98, 0.21 eV/f.u., respectively.
Across the entries above, DFT total energy takes the values -2.37, -5.63 eV/atom, respectively.
Across the entries above, DOS(E_F) takes the values 38.53, 4.74 states/eV/cell, respectively.